Arrangement w

Here is ZrRuBr2 after structural relaxation from Alexandria. Energies are from PBE.

Cell lengths 4.4460, 4.4460, 3.7498 Å; angles 90.00, 90.00, 90.00 degrees
Space group P4/mmm (No. 123)
Inequivalent atoms, fractional coordinates:
Zr 0.0000 0.0000 0.0000
Ru 0.5000 0.5000 0.0000
Br 0.0000 0.5000 0.5000


Arrangement x

Here is ZrRuBr2 after structural relaxation from Alexandria. Energies are from PBE.

Cell lengths 4.1103, 4.1103, 9.1390 Å; angles 90.00, 90.00, 90.00 degrees
Space group I-4m2 (No. 119)
Inequivalent atoms, fractional coordinates:
Zr 0.0000 0.0000 0.0000
Ru 0.0000 0.5000 0.2500
Br 0.0000 0.0000 0.5000
Br 0.0000 0.5000 0.7500


Arrangement y

Here is ZrRuBr2 after structural relaxation from Alexandria. Energies are from PBE.

Cell lengths 10.8311, 3.4779, 5.6805 Å; angles 90.00, 98.10, 90.00 degrees
Space group Cm (No. 8)
Inequivalent atoms, fractional coordinates:
Zr 0.0000 0.0000 0.0000
Ru 0.1143 0.5000 0.2443
Br 0.2727 0.0000 0.0080
Br 0.4888 0.0000 0.5802


Arrangement z

Here is ZrRuBr2 after structural relaxation from Alexandria. Energies are from PBE.

Cell lengths 6.0313, 6.0313, 11.0265 Å; angles 90.00, 90.00, 90.00 degrees
Space group I-42d (No. 122)
Inequivalent atoms, fractional coordinates:
Zr 0.0000 0.0000 0.0000
Ru 0.0000 0.0000 0.5000
Br 0.2247 0.2500 0.6250


Stability ranking, top entry: arrangement y; the second entry is 593 meV/atom less favorable.


Arrangement w

Here is Zr2RuBr after structural relaxation from Alexandria. Energies are from PBE.

Cell lengths 3.1915, 3.1915, 7.8265 Å; angles 90.00, 90.00, 90.00 degrees
Space group P4/mmm (No. 123)
Inequivalent atoms, fractional coordinates:
Zr 0.0000 0.0000 0.2156
Ru 0.5000 0.5000 0.0000
Br 0.5000 0.5000 0.5000


Arrangement x

Here is Zr2RuBr after structural relaxation from Alexandria. Energies are from PBE.

Cell lengths 6.7546, 6.7546, 6.7546 Å; angles 90.00, 90.00, 90.00 degrees
Space group Fm-3m (No. 225)
Inequivalent atoms, fractional coordinates:
Zr 0.2500 0.2500 0.2500
Ru 0.0000 0.0000 0.0000
Br 0.0000 0.0000 0.5000


Stability ranking, top entry: arrangement w; the second entry is 399 meV/atom less favorable.